[1]
Here is crystalline La3Pm3In2 at its relaxed geometry from Alexandria. Energies are from PBE-GGA.

abc: 6.6819 6.6819 16.4480
angles: 90.00 90.00 132.89
Positions (direct):
La (0.0416, 0.9584, 0.6077)
La (0.0416, 0.9584, 0.8923)
La (0.2792, 0.7208, 0.7500)
La (0.7208, 0.2792, 0.2500)
La (0.9584, 0.0416, 0.1077)
La (0.9584, 0.0416, 0.3923)
Pm (0.3621, 0.6379, 0.5353)
Pm (0.3621, 0.6379, 0.9647)
Pm (0.4466, 0.5534, 0.2500)
Pm (0.5534, 0.4466, 0.7500)
Pm (0.6379, 0.3621, 0.0353)
Pm (0.6379, 0.3621, 0.4647)
In (0.2330, 0.7670, 0.1331)
In (0.2330, 0.7670, 0.3669)
In (0.7670, 0.2330, 0.6331)
In (0.7670, 0.2330, 0.8669)

Computed properties:
Formation enthalpy at 0 K ... -3.81 kcal/mol of atoms
Calculated density ... 6.7 Mg/m³
Total energy ... -4.48 eV per atom
Space-group type ... Cmcm

***

[2]
Here is crystalline Cs3Rb2F at its relaxed geometry from Alexandria. Energies are from PBE-GGA.

abc: 13.2594 13.2594 10.1178
angles: 90.00 90.00 147.13
Positions (direct):
Cs (0.1126, 0.8874, 0.5149)
Cs (0.1126, 0.8874, 0.9851)
Cs (0.3219, 0.6781, 0.2500)
Cs (0.6781, 0.3219, 0.7500)
Cs (0.8874, 0.1126, 0.0149)
Cs (0.8874, 0.1126, 0.4851)
Rb (0.2748, 0.7252, 0.7500)
Rb (0.4762, 0.5238, 0.7500)
Rb (0.5238, 0.4762, 0.2500)
Rb (0.7252, 0.2748, 0.2500)
F (0.1694, 0.8306, 0.7500)
F (0.8306, 0.1694, 0.2500)

Computed properties:
Calculated density ... 2.0 Mg/m³
Total energy ... -1.90 eV per atom
Space-group type ... Cmcm
Energy relative to the elements, uncorrected ... -0.8389 eV/atom

***

[3]
Here is crystalline PrEuTe at its relaxed geometry from Alexandria. Energies are from PBE-GGA.

abc: 5.4074 5.4074 4.2514
angles: 90.00 90.00 120.00
Positions (direct):
Pr (0.0000, 0.0000, 0.0000)
Eu (0.3333, 0.6667, 0.4997)
Te (0.6667, 0.3333, 0.0024)

Computed properties:
Calculated density ... 6.5 Mg/m³
Total energy ... -6.69 eV per atom
Space-group type ... P3m1
Energy relative to the elements, uncorrected ... -0.6227 eV/atom

***

[4]
Here is crystalline InMo at its relaxed geometry from Alexandria. Energies are from PBE-GGA.

abc: 3.9157 3.9157 2.7716
angles: 90.00 90.00 90.00
Positions (direct):
In (0.0000, 0.0000, 0.0000)
Mo (0.5000, 0.5000, 0.0000)

Computed properties:
Formation enthalpy at 0 K ... 26.86 kcal/mol of atoms
Calculated density ... 8.2 Mg/m³
Total energy ... -5.62 eV per atom
Space-group type ... P4/mmm

***

[5]
Here is crystalline U5PS4 at its relaxed geometry from Alexandria. Energies are from PBE-GGA.

abc: 16.8809 16.8809 16.8809
angles: 12.83 12.83 12.83
Positions (direct):
U (0.0000, 0.0000, 0.0000)
U (0.2005, 0.2005, 0.2005)
U (0.3997, 0.3997, 0.3997)
U (0.6003, 0.6003, 0.6003)
U (0.7995, 0.7995, 0.7995)
P (0.5000, 0.5000, 0.5000)
S (0.0994, 0.0994, 0.0994)
S (0.3002, 0.3002, 0.3002)
S (0.6998, 0.6998, 0.6998)
S (0.9006, 0.9006, 0.9006)

Computed properties:
Calculated density ... 10.9 Mg/m³
Total energy ... -9.14 eV per atom
Space-group type ... R-3m
Energy relative to the elements, uncorrected ... -1.3035 eV/atom

***

[6]
Here is crystalline Pu2AlPt at its relaxed geometry from Alexandria. Energies are from PBE-GGA.

abc: 3.8445 3.8445 5.7584
angles: 90.00 90.00 90.00
Positions (direct):
Pu (0.0000, 0.0000, 0.2429)
Pu (0.0000, 0.0000, 0.7571)
Al (0.5000, 0.5000, 0.5000)
Pt (0.5000, 0.5000, 0.0000)

Computed properties:
Formation enthalpy at 0 K ... -11.33 kcal/mol of atoms
Calculated density ... 13.9 Mg/m³
Total energy ... -10.10 eV per atom
Space-group type ... P4/mmm

***

[7]
Here is crystalline ZrPaZnOs at its relaxed geometry from Alexandria. Energies are from PBE-GGA.

abc: 4.8206 4.8206 4.8206
angles: 60.00 60.00 60.00
Positions (direct):
Zr (0.0000, 0.0000, 0.0000)
Pa (0.5000, 0.5000, 0.5000)
Zn (0.2500, 0.2500, 0.2500)
Os (0.7500, 0.7500, 0.7500)

Computed properties:
Formation enthalpy at 0 K ... -2.61 kcal/mol of atoms
Calculated density ... 12.1 Mg/m³
Total energy ... -7.75 eV per atom
Space-group type ... F-43m

***

[8]
Here is crystalline PmZnCuNi3 at its relaxed geometry from Alexandria. Energies are from PBE-GGA.

abc: 7.0186 7.0186 5.4705
angles: 90.00 90.00 136.51
Positions (direct):
Pm (0.1893, 0.8107, 0.7500)
Pm (0.8107, 0.1893, 0.2500)
Zn (0.1298, 0.8702, 0.2500)
Zn (0.8702, 0.1298, 0.7500)
Cu (0.3936, 0.6064, 0.7500)
Cu (0.6064, 0.3936, 0.2500)
Ni (0.2363, 0.2363, 0.0000)
Ni (0.2363, 0.2363, 0.5000)
Ni (0.3719, 0.6281, 0.2500)
Ni (0.6281, 0.3719, 0.7500)
Ni (0.7637, 0.7637, 0.0000)
Ni (0.7637, 0.7637, 0.5000)

Computed properties:
Formation enthalpy at 0 K ... -1.30 kcal/mol of atoms
Calculated density ... 8.1 Mg/m³
Total energy ... -4.63 eV per atom
Space-group type ... Cmcm

***

[9]
Here is crystalline ThZrAg4 at its relaxed geometry from Alexandria. Energies are from PBE-GGA.

abc: 5.6436 5.6436 5.6436
angles: 60.00 60.00 60.00
Positions (direct):
Th (0.0000, 0.0000, 0.0000)
Zr (0.7500, 0.7500, 0.7500)
Ag (0.3755, 0.3755, 0.3755)
Ag (0.3755, 0.3755, 0.8736)
Ag (0.3755, 0.8736, 0.3755)
Ag (0.8736, 0.3755, 0.3755)

Computed properties:
Formation enthalpy at 0 K ... 1.81 kcal/mol of atoms
Calculated density ... 9.9 Mg/m³
Total energy ... -4.48 eV per atom
Space-group type ... F-43m

***

[10]
Here is crystalline LiNpBiSb at its relaxed geometry from Alexandria. Energies are from PBE-GGA.

abc: 5.2825 5.2825 5.2825
angles: 60.00 60.00 60.00
Positions (direct):
Li (0.0000, 0.0000, 0.0000)
Np (0.5000, 0.5000, 0.5000)
Bi (0.2500, 0.2500, 0.2500)
Sb (0.7500, 0.7500, 0.7500)

Computed properties:
Calculated density ... 9.2 Mg/m³
Total energy ... -5.81 eV per atom
Space-group type ... F-43m
Energy relative to the elements, uncorrected ... -0.0956 eV/atom